Here is a geometry-optimized Sc4GaPt2 structure from Alexandria via LeMat-Bulk. Energies are from PBE-GGA.

POSCAR file:
```
Sc4GaPt2
1.0
2.317 1.337 7.548
-2.317 1.337 7.548
0.000 -2.675 7.548
Sc Ga Pt
4 1 2
Cartesian
0.000 0.000 2.689
0.000 0.000 8.408
0.000 0.000 14.236
0.000 0.000 19.954
0.000 0.000 11.322
0.000 0.000 5.641
0.000 0.000 17.003
```

Calculated values
symmetry	No. 166

Here is a geometry-optimized Sc4GaPt3 structure from Alexandria via LeMat-Bulk. Energies are from PBE-GGA.

POSCAR file:
```
Sc4GaPt3
1.0
2.345 1.354 7.682
-2.345 1.354 7.682
0.000 -2.707 7.682
Sc Ga Pt
4 1 3
Cartesian
0.000 0.000 2.808
0.000 0.000 8.591
0.000 0.000 14.456
0.000 0.000 20.239
0.000 0.000 11.524
0.000 0.000 0.000
0.000 0.000 5.602
0.000 0.000 17.446
```

Calculated values
symmetry	No. 166

Here is a geometry-optimized Sc6Ga2Pt structure from Alexandria via LeMat-Bulk. Energies are from PBE-GGA.

POSCAR file:
```
Sc6Ga2Pt
1.0
-4.414 4.535 4.677
4.414 -4.535 4.677
4.414 4.535 -4.677
Sc Ga Pt
12 4 2
Cartesian
4.414 -2.576 3.066
2.742 0.000 2.416
6.085 0.000 2.416
2.839 2.427 0.000
5.989 2.427 0.000
0.000 1.959 1.610
4.414 2.576 3.066
-1.575 2.108 4.677
1.575 2.108 4.677
-1.672 4.535 2.261
1.672 4.535 2.261
0.000 7.111 1.610
1.352 0.000 0.000
7.475 0.000 0.000
0.000 0.000 3.443
0.000 0.000 5.911
4.414 0.000 0.000
0.000 4.535 0.000
```

Calculated values
symmetry	No. 71

Number 1: E -46.9 eV per cell, magnetization 0.000 μB/atom. Number 2: E -55.2 eV per cell, magnetization 0.000 μB/atom. Number 3: E -111.0 eV per cell, magnetization 0.000 μB/atom.